Computed, not measured: crystalline Li8Mg2Rh at its relaxed geometry at the PBE level of DFT.

Lattice parameters (Å, degrees): 12.8901 5.2860 6.2421 90.00 107.16 90.00
Closest atoms and distances in Å follow each position.
Space group C2/m (No. 12)
Symmetry-distinct sites (fractional):
Li 0.0632 0.2476 0.3613 (multiplicity 8)  1 Rh 2.54, 4 Li 2.62-2.73
Li 0.1040 0.0000 0.9818 (multiplicity 4)  5 Li 2.76-2.89, 3 Mg 2.94-3.01, 2 Rh 2.98
Li 0.2388 0.5000 0.3085 (multiplicity 4)  2 Li 2.73, 1 Mg 2.95
Mg 0.1595 0.5000 0.8137 (multiplicity 4)  1 Rh 2.64, 2 Li 2.94-2.95
Rh 0.0000 0.5000 0.0000 (multiplicity 2)  4 Li 2.54, 2 Mg 2.64

Computed, not measured: crystalline Li5Mg6Rh at its relaxed geometry at the PBE level of DFT.

Lattice parameters (Å, degrees): 4.6945 6.8293 14.1578 90.00 90.00 90.00
Closest atoms and distances in Å follow each position.
Space group Immm (No. 71)
Symmetry-distinct sites (fractional):
Li 0.0000 0.0000 0.0000 (multiplicity 2)  8 Mg 2.84-3.03
Li 0.0000 0.0000 0.3252 (multiplicity 4)  8 Mg 2.86-3.00
Li 0.0000 0.5000 0.3316 (multiplicity 4)  8 Mg 2.96-3.06, 2 Li 3.23
Mg 0.0000 0.2200 0.5000 (multiplicity 4)  2 Rh 2.79, 6 Li 2.90-3.06, 1 Mg 3.00
Mg 0.0000 0.2638 0.1554 (multiplicity 8)  1 Rh 2.73, 7 Li 2.84-3.00
Rh 0.0000 0.5000 0.0000 (multiplicity 2)  8 Mg 2.73-2.79

Computed, not measured: crystalline Li3MgRh at its relaxed geometry at the PBE level of DFT.

Lattice parameters (Å, degrees): 3.0521 8.7811 6.8540 90.00 102.70 90.00
Closest atoms and distances in Å follow each position.
Space group P2_1/m (No. 11)
Symmetry-distinct sites (fractional):
Li 0.1659 0.0076 0.3301 (multiplicity 4)  2 Rh 2.63, 4 Li 2.73-2.74, 1 Mg 2.84
Li 0.3334 0.2500 0.6682 (multiplicity 2)  2 Rh 2.49-2.50, 4 Li 2.73
Mg 0.0258 0.2500 0.0500 (multiplicity 2)  2 Rh 2.64-2.65, 2 Li 2.84
Rh 0.3133 0.7500 0.6273 (multiplicity 2)  6 Li 2.49-2.63, 2 Mg 2.64-2.65

Computed, not measured: crystalline LiMg3Rh2 at its relaxed geometry at the PBE level of DFT.

Lattice parameters (Å, degrees): 3.2064 3.2064 9.6215 90.00 90.00 90.00
Closest atoms and distances in Å follow each position.
Space group P4/mmm (No. 123)
Symmetry-distinct sites (fractional):
Li 0.0000 0.0000 0.0000 (multiplicity 1)  8 Mg 2.94, 4 Li 3.21, 2 Rh 3.24
Mg 0.5000 0.5000 0.1946 (multiplicity 2)  4 Rh 2.65, 1 Mg 2.94, 4 Li 2.94
Mg 0.5000 0.5000 0.5000 (multiplicity 1)  8 Rh 2.76, 2 Mg 2.94
Rh 0.0000 0.0000 0.3369 (multiplicity 2)  8 Mg 2.65-2.76

Computed uncorrected energy, in the same sequence as the records: -2.379 -2.367 -2.995 -3.956 eV/atom.
Computed DFT formation energy, in the same sequence as the records: -29 -160 -57 -390 meV/atom.